Entry from Alexandria: crystalline Pr8CuNi3Br4 at its relaxed geometry (PBE).

Results
formation energy without anion corrections	-751	meV/atom
uncorrected energy	-156.75	eV for the cell shown

Cell and atoms, written as CIF:
```
data_Pr8CuNi3Br4
_space_group_name_H-M_alt 'C 1 2/m 1'
_space_group_IT_number 12
_cell_length_a 14.3629
_cell_length_b 8.2807
_cell_length_c 9.1127
_cell_angle_alpha 90.00
_cell_angle_beta 121.72
_cell_angle_gamma 90.00
loop_
_space_group_symop_operation_xyz
'x,y,z'
'-x,-y,-z'
'-x,y,-z'
'x,-y,z'
'x+1/2,y+1/2,z'
'-x+1/2,-y+1/2,-z'
'-x+1/2,y+1/2,-z'
'x+1/2,-y+1/2,z'
loop_
_atom_site_label
_atom_site_type_symbol
_atom_site_fract_x
_atom_site_fract_y
_atom_site_fract_z
Pr1 Pr 0.0194 0.2441 0.3029
Pr2 Pr 0.2322 0.0000 0.6962
Pr3 Pr 0.2364 0.5000 0.6969
Cu1 Cu 0.0000 0.5000 0.5000
Ni1 Ni 0.0000 0.0000 0.5000
Ni2 Ni 0.2500 0.2500 0.5000
Br1 Br 0.0000 0.0000 0.0000
Br2 Br 0.0000 0.5000 0.0000
Br3 Br 0.2500 0.2500 0.0000
```

=====

Entry from Alexandria: crystalline CuNiPt2Br at its relaxed geometry (PBE).

Results
formation energy without anion corrections	1308	meV/atom
uncorrected energy	-17.09	eV for the cell shown

Cell and atoms, written as CIF:
```
data_CuNiPt2Br
_space_group_name_H-M_alt 'P 4/m m m'
_space_group_IT_number 123
_space_group_name_Hall '-P 4 2'
_cell_length_a 4.7606
_cell_length_b 4.7606
_cell_length_c 4.3891
_cell_angle_alpha 90.00
_cell_angle_beta 90.00
_cell_angle_gamma 90.00
loop_
_atom_site_label
_atom_site_type_symbol
_atom_site_fract_x
_atom_site_fract_y
_atom_site_fract_z
Cu1 Cu 0.0000 0.0000 0.0000
Ni1 Ni 0.5000 0.5000 0.0000
Pt1 Pt 0.0000 0.5000 0.5000
Br1 Br 0.0000 0.0000 0.5000
```

=====

Entry from Alexandria: crystalline Rb3Cu2NiBr8 at its relaxed geometry (PBE).

Results
formation energy without anion corrections	-910	meV/atom
uncorrected energy	-43.00	eV for the cell shown

Cell and atoms, written as CIF:
```
data_Rb3Cu2NiBr8
_space_group_name_H-M_alt 'P -3 m 1'
_space_group_IT_number 164
_space_group_name_Hall '-P 3 2"'
_cell_length_a 7.3891
_cell_length_b 7.3891
_cell_length_c 9.5626
_cell_angle_alpha 90.00
_cell_angle_beta 90.00
_cell_angle_gamma 120.00
loop_
_atom_site_label
_atom_site_type_symbol
_atom_site_fract_x
_atom_site_fract_y
_atom_site_fract_z
Rb1 Rb 0.0000 0.0000 0.0000
Rb2 Rb 0.3333 0.6667 0.6373
Cu1 Cu 0.3333 0.6667 0.2305
Ni1 Ni 0.0000 0.0000 0.5000
Br1 Br 0.1581 0.3162 0.3381
Br2 Br 0.3333 0.6667 0.9887
```

=====

Entry from Alexandria: crystalline CuNiSeBr2 at its relaxed geometry (PBE).

Results
energy above the most stable polymorph in this dataset	0.0000	eV/atom
formation energy without anion corrections	392	meV/atom
uncorrected energy	-14.75	eV for the cell shown

Cell and atoms, written as CIF:
```
data_CuNiSeBr2
_space_group_name_H-M_alt 'P 4/m m m'
_space_group_IT_number 123
_space_group_name_Hall '-P 4 2'
_cell_length_a 4.9913
_cell_length_b 4.9913
_cell_length_c 4.6382
_cell_angle_alpha 90.00
_cell_angle_beta 90.00
_cell_angle_gamma 90.00
loop_
_atom_site_label
_atom_site_type_symbol
_atom_site_fract_x
_atom_site_fract_y
_atom_site_fract_z
Cu1 Cu 0.0000 0.0000 0.0000
Ni1 Ni 0.5000 0.5000 0.5000
Se1 Se 0.5000 0.5000 0.0000
Br1 Br 0.0000 0.5000 0.5000
```

=====

Entry from Alexandria: crystalline CuNiSeBr2 at its relaxed geometry (PBE).

Results
energy above the most stable polymorph in this dataset	0.2352	eV/atom
formation energy without anion corrections	627	meV/atom
uncorrected energy	-13.57	eV for the cell shown

Cell and atoms, written as CIF:
```
data_CuNiSeBr2
_space_group_name_H-M_alt 'P 4/m m m'
_space_group_IT_number 123
_space_group_name_Hall '-P 4 2'
_cell_length_a 4.8934
_cell_length_b 4.8934
_cell_length_c 4.9949
_cell_angle_alpha 90.00
_cell_angle_beta 90.00
_cell_angle_gamma 90.00
loop_
_atom_site_label
_atom_site_type_symbol
_atom_site_fract_x
_atom_site_fract_y
_atom_site_fract_z
Cu1 Cu 0.0000 0.0000 0.0000
Ni1 Ni 0.5000 0.5000 0.5000
Se1 Se 0.0000 0.0000 0.5000
Br1 Br 0.0000 0.5000 0.0000
```

=====

Entry from Alexandria: crystalline Sr2CuNiBr at its relaxed geometry (PBE).

Results
formation energy without anion corrections	-321	meV/atom
uncorrected energy	-16.52	eV for the cell shown

Cell and atoms, written as CIF:
```
data_Sr2CuNiBr
_space_group_name_H-M_alt 'P 4/m m m'
_space_group_IT_number 123
_space_group_name_Hall '-P 4 2'
_cell_length_a 5.8115
_cell_length_b 5.8115
_cell_length_c 4.4061
_cell_angle_alpha 90.00
_cell_angle_beta 90.00
_cell_angle_gamma 90.00
loop_
_atom_site_label
_atom_site_type_symbol
_atom_site_fract_x
_atom_site_fract_y
_atom_site_fract_z
Sr1 Sr 0.0000 0.5000 0.0000
Cu1 Cu 0.0000 0.0000 0.0000
Ni1 Ni 0.0000 0.0000 0.5000
Br1 Br 0.5000 0.5000 0.5000
```